AlB3P: optimized geometry, GGA-PBE.

As for the crystal system: cubic. The value obtained for the density of states at the Fermi level is 2.32 states/eV/cell. For the calculated volume, the calculation gives 58.6 Å³/cell. The value obtained for the formation energy is 1.354 eV per atom. The value obtained for the total energy is -4.4828 eV per atom.

The structure in CIF format:
```
data_AlB3P
_symmetry_space_group_name_H-M 'P m -3 m'
_symmetry_Int_Tables_number 221
_symmetry_space_group_name_Hall '-P 4 2 3'
_cell_length_a 3.8841
_cell_length_b 3.8841
_cell_length_c 3.8841
_cell_angle_alpha 90.00
_cell_angle_beta 90.00
_cell_angle_gamma 90.00
loop_
_atom_site_label
_atom_site_fract_x
_atom_site_fract_y
_atom_site_fract_z
Al1 0.0000 0.0000 0.0000
B1 0.0000 0.5000 0.5000
P1 0.5000 0.5000 0.5000
```